Record 1
The following is a DFT calculation (PBE-GGA) of a relaxed structure of Pr8AsP3S4.

```
Pr8AsP3S4
1.0
8.3482 0.0000 0.0000
0.0000 8.3521 -0.0035
-4.1741 -4.1698 5.9064
Pr As P S
8 1 3 4
Cartesian
-2.0600 2.0778 5.8730
0.0000 4.1351 2.9583
0.0000 0.0450 2.9825
2.0600 2.0778 5.8730
2.1141 2.1045 0.0299
4.1741 4.1372 2.9204
4.1741 0.0472 2.9446
6.2342 2.1045 0.0299
0.0000 4.1761 -0.0018
4.1741 4.1761 -0.0018
2.0871 2.0911 2.9514
-2.0871 2.0911 2.9514
4.1741 0.0000 0.0000
2.0871 -2.0849 2.9532
0.0000 0.0000 0.0000
-2.0871 -2.0849 2.9532
```

Properties
- Total energy: -6.545 eV per atom
- Symmetry: R-3m
- Theoretical density: 5.741 g cm⁻³


Record 2
The following is a DFT calculation (PBE-GGA) of a relaxed structure of K2CdSeS.

```
K2CdSeS
1.0
4.3052 0.0000 0.0000
0.0000 8.2012 0.2685
0.0000 -3.1920 9.4701
K Cd Se S
4 2 2 2
Cartesian
3.2289 4.9519 5.9980
3.2289 6.4835 0.6834
1.0763 0.0573 3.7406
1.0763 -1.4744 9.0552
1.0763 1.6581 7.0897
3.2289 3.3511 2.6489
1.0763 4.8580 3.1341
3.2289 0.1512 6.6045
1.0763 3.9035 7.9710
3.2289 1.1057 1.7676
```

Properties
- Total energy: -3.089 eV per atom
- Symmetry: P2_1/m
- Theoretical density: 2.963 g cm⁻³